1.
Density functional theory data (PBE) for Cu2Ni8Ge3 after structural relaxation.

a = 9.1128 Å, b = 9.1128 Å, c = 9.1128 Å
α = 29.99°, β = 29.99°, γ = 29.99°
Fractional coordinates of all 13 atoms:
Cu (0.1359, 0.1359, 0.1359)
Cu (0.8641, 0.8641, 0.8641)
Ni (0.2231, 0.2231, 0.7245)
Ni (0.2231, 0.7245, 0.2231)
Ni (0.2260, 0.2260, 0.2260)
Ni (0.2755, 0.7769, 0.7769)
Ni (0.7245, 0.2231, 0.2231)
Ni (0.7740, 0.7740, 0.7740)
Ni (0.7769, 0.2755, 0.7769)
Ni (0.7769, 0.7769, 0.2755)
Ge (0.3129, 0.3129, 0.3129)
Ge (0.5000, 0.5000, 0.5000)
Ge (0.6871, 0.6871, 0.6871)

Values from the calculation:
* formation energy: 142.8 kJ/mol of formula units
* space-group type: R-3m, No. 166
* density: 8.1 g cm⁻³
* size of the total moment: 0.0 μB per cell

***

2.
Density functional theory data (PBE) for Li2AcTbF8 after structural relaxation.

a = 4.8234 Å, b = 4.8234 Å, c = 8.0369 Å
α = 91.15°, β = 91.15°, γ = 74.96°
Fractional coordinates of all 12 atoms:
Li (0.1036, 0.1036, 0.2666)
Li (0.8964, 0.8964, 0.7334)
Ac (0.5000, 0.5000, 0.0000)
Tb (0.5000, 0.5000, 0.5000)
F (0.1906, 0.1906, 0.0453)
F (0.2168, 0.2168, 0.4749)
F (0.2783, 0.7157, 0.2685)
F (0.2843, 0.7217, 0.7315)
F (0.7157, 0.2783, 0.2685)
F (0.7217, 0.2843, 0.7315)
F (0.7832, 0.7832, 0.5251)
F (0.8094, 0.8094, 0.9547)

Values from the calculation:
* space-group type: C2/m, No. 12
* density: 5.1 g cm⁻³
* size of the total moment: 0.0 μB per cell
* raw formation energy: -3.67 eV per atom

***

no.,E_tot (eV per atom)
1,-5.140
2,-5.965